# 1
U3Si4Os2 | PBE | optimized geometry

Cell: 10.4120 4.1569 8.4140 Å, 90.00 118.98 90.00°
Space group C2/m (No. 12)
Unique sites:
1 U 0.0000 0.0000 0.0000 x2
2 U 0.1137 0.5000 0.6565 x4
3 Si 0.1161 0.0000 0.4132 x4
4 Si 0.2297 0.5000 0.0545 x4
5 Os 0.1509 0.5000 0.2806 x4

## Properties
D(E_F) ... 1.35 states/eV per atom
Raw formation energy ... -0.419 eV/atom
Total magnetic moment ... 6.46 Bohr magnetons per cell
Crystal system ... monoclinic
Energy above the lowest structure with this stoichiometry ... 0.0 meV per atom



# 2
Sr2ErIn3 | PBE | optimized geometry

Cell: 5.5956 16.7503 7.9100 Å, 90.00 90.00 90.00°
Space group Cmmm (No. 65)
Unique sites:
1 Sr 0.0000 0.0000 0.0000 x2
2 Sr 0.0000 0.0000 0.5000 x2
3 Sr 0.0000 0.3370 0.0000 x4
4 Er 0.0000 0.3354 0.5000 x4
5 In 0.0000 0.1738 0.2738 x8
6 In 0.0000 0.5000 0.2712 x4

## Properties
D(E_F) ... 0.55 states/eV per atom
Total magnetic moment ... 0.00 Bohr magnetons per cell
VASP energy ... -74.5 eV for the cell shown
Crystal system ... orthorhombic



# 3
CsNbAs | PBE | optimized geometry

Cell: 3.9866 4.2953 12.7525 Å, 89.47 83.94 90.00°
Space group P-1 (No. 2)
Unique sites:
1 Cs 0.1510 0.2419 0.2927 x2
2 Nb 0.2533 0.7503 0.9903 x2
3 As 0.2950 0.2537 0.8669 x2

## Properties
D(E_F) ... 0.78 states/eV per atom
Total magnetic moment ... 0.11 Bohr magnetons per cell
VASP energy ... -33.5 eV for the cell shown
Crystal system ... triclinic



# 4
Na2AsBrCl | PBE | optimized geometry

Cell: 5.7936 5.7936 5.0287 Å, 90.00 90.00 90.00°
Space group P4/mmm (No. 123)
Unique sites:
1 Na 0.0000 0.5000 0.0000 x2
2 As 0.0000 0.0000 0.0000 x1
3 Br 0.0000 0.0000 0.5000 x1
4 Cl 0.5000 0.5000 0.5000 x1

## Properties
D(E_F) ... 0.70 states/eV per atom
Raw formation energy ... -0.529 eV/atom
Total magnetic moment ... 0.38 Bohr magnetons per cell
Crystal system ... tetragonal



# 5
CdNiW2 | PBE | optimized geometry

Cell: 2.7481 2.7481 8.2724 Å, 90.00 90.00 90.00°
Space group P4/mmm (No. 123)
Unique sites:
1 Cd 0.0000 0.0000 0.0000 x1
2 Ni 0.0000 0.0000 0.5000 x1
3 W 0.5000 0.5000 0.2821 x2

## Properties
D(E_F) ... 0.98 states/eV per atom
Total magnetic moment ... 0.00 Bohr magnetons per cell
VASP energy ... -31.1 eV for the cell shown
Crystal system ... tetragonal



# 6
Bi2Ru2Rh | PBE | optimized geometry

Cell: 7.6983 7.6983 3.2108 Å, 90.00 90.00 90.00°
Space group P4/mbm (No. 127)
Unique sites:
1 Bi 0.1611 0.3389 0.0000 x4
2 Ru 0.1381 0.6381 0.5000 x4
3 Rh 0.0000 0.0000 0.0000 x2

## Properties
D(E_F) ... 1.14 states/eV per atom
Total magnetic moment ... 0.00 Bohr magnetons per cell
Crystal system ... tetragonal
Energy above the lowest structure with this stoichiometry ... 78.9 meV per atom



# 7
Zn2FeBr | PBE | optimized geometry

Cell: 4.7549 4.7549 3.0888 Å, 90.00 90.00 90.00°
Space group P4/mmm (No. 123)
Unique sites:
1 Zn 0.0000 0.5000 0.0000 x2
2 Fe 0.0000 0.0000 0.5000 x1
3 Br 0.5000 0.5000 0.5000 x1

## Properties
D(E_F) ... 0.72 states/eV per atom
Raw formation energy ... 0.469 eV/atom
Total magnetic moment ... 2.46 Bohr magnetons per cell
Crystal system ... tetragonal
Energy above the lowest structure with this stoichiometry ... 340.1 meV per atom



# 8
ReAsSe2 | PBE | optimized geometry

Cell: 8.8328 3.2804 7.3718 Å, 90.00 118.92 90.00°
Space group Cm (No. 8)
Unique sites:
1 Re 0.0000 0.0000 0.0000 x2
2 As 0.3012 0.0000 0.0406 x2
3 Se 0.0944 0.5000 0.3240 x2
4 Se 0.4298 0.0000 0.7138 x2

## Properties
D(E_F) ... 0.40 states/eV per atom
Raw formation energy ... 0.072 eV/atom
Total magnetic moment ... 0.00 Bohr magnetons per cell
Crystal system ... monoclinic